## a
Mn2Ni2Ru: relaxed, PBE-GGA.

Results
Symmetry ... No. 127

a = 6.7411 Å, b = 6.7411 Å, c = 2.5883 Å
α = 90.00°, β = 90.00°, γ = 90.00°
Fractional positions:
Mn (0.1070, 0.3930, 0.0000)
Mn (0.3930, 0.8930, 0.0000)
Mn (0.6070, 0.1070, 0.0000)
Mn (0.8930, 0.6070, 0.0000)
Ni (0.1869, 0.6869, 0.5000)
Ni (0.3131, 0.1869, 0.5000)
Ni (0.6869, 0.8131, 0.5000)
Ni (0.8131, 0.3131, 0.5000)
Ru (0.0000, 0.0000, 0.0000)
Ru (0.5000, 0.5000, 0.0000)

## b
Mn2Ni2Ru: relaxed, PBE-GGA.

Results
Symmetry ... No. 127

a = 6.6759 Å, b = 6.6759 Å, c = 2.6025 Å
α = 90.00°, β = 90.00°, γ = 90.00°
Fractional positions:
Mn (0.1745, 0.3255, 0.0000)
Mn (0.3255, 0.8255, 0.0000)
Mn (0.6745, 0.1745, 0.0000)
Mn (0.8255, 0.6745, 0.0000)
Ni (0.1233, 0.6233, 0.5000)
Ni (0.3767, 0.1233, 0.5000)
Ni (0.6233, 0.8767, 0.5000)
Ni (0.8767, 0.3767, 0.5000)
Ru (0.0000, 0.0000, 0.5000)
Ru (0.5000, 0.5000, 0.5000)

Which structure is most stable? b, by 0.028 eV/atom over the runner-up.

## a
MnZnNiRu: relaxed, PBE-GGA.

Results
Symmetry ... No. 216

a = 4.1693 Å, b = 4.1693 Å, c = 4.1693 Å
α = 60.00°, β = 60.00°, γ = 60.00°
Fractional positions:
Mn (0.0000, 0.0000, 0.0000)
Zn (0.5000, 0.5000, 0.5000)
Ni (0.7500, 0.7500, 0.7500)
Ru (0.2500, 0.2500, 0.2500)

## b
MnZnNiRu: relaxed, PBE-GGA.

Results
Symmetry ... No. 99

a = 2.9676 Å, b = 2.9676 Å, c = 5.8189 Å
α = 90.00°, β = 90.00°, γ = 90.00°
Fractional positions:
Mn (0.0000, 0.0000, 0.0000)
Zn (0.0000, 0.0000, 0.4783)
Ni (0.5000, 0.5000, 0.2414)
Ru (0.5000, 0.5000, 0.7606)

Which structure is most stable? b, by 0.055 eV/atom over the runner-up.